[1]
# Be2InHg | Alexandria | meta-GGA SCAN | single point on PBEsol structure
data_Be2InHg
_chemical_formula_sum 'Be2 In1 Hg1'
_cell_length_a 3.694
_cell_length_b 3.853
_cell_length_c 4.797
_cell_angle_alpha 90.00
_cell_angle_beta 112.64
_cell_angle_gamma 90.00
_symmetry_space_group_name_H-M 'P 1'
_symmetry_Int_Tables_number 1
loop_
_symmetry_equiv_pos_as_xyz
'x,y,z'
loop_
_atom_site_label
_atom_site_fract_x
_atom_site_fract_y
_atom_site_fract_z
_atom_site_occupancy
In1 0.397 0.500 0.794 1
Be1 0.682 0.500 0.363 1
Be2 0.819 0.000 0.638 1
Hg1 0.106 0.000 0.212 1
# DOS at the Fermi energy ... 1.4 states/eV per cell
# Energy relative to the elements ... 347 meV per atom
# Volume ... 63.0 Å³ per cell
# ΔE to the lowest computed polymorph ... 5.77 kJ/mol of atoms
# Total moment ... 0.0 μB per cell
# VASP energy ... -108.9 eV/cell

---

[2]
# YSc2Se | Alexandria | meta-GGA SCAN | single point on PBEsol structure
data_YSc2Se
_chemical_formula_sum 'Y1 Sc2 Se1'
_cell_length_a 3.581
_cell_length_b 3.581
_cell_length_c 9.074
_cell_angle_alpha 78.62
_cell_angle_beta 78.62
_cell_angle_gamma 60.00
_symmetry_space_group_name_H-M 'P 1'
_symmetry_Int_Tables_number 1
loop_
_symmetry_equiv_pos_as_xyz
'x,y,z'
loop_
_atom_site_label
_atom_site_fract_x
_atom_site_fract_y
_atom_site_fract_z
_atom_site_occupancy
Sc1 0.766 0.766 0.702 1
Sc2 0.004 0.004 0.989 1
Y1 0.235 0.235 0.296 1
Se1 0.496 0.496 0.513 1
# DOS at the Fermi energy ... 4.2 states/eV per cell
# Volume ... 98.1 Å³ per cell
# Total moment ... 1.4 μB per cell
# VASP energy ... -79.8 eV/cell

---

[3]
# KOsBr2 | Alexandria | meta-GGA SCAN | single point on PBEsol structure
data_KOsBr2
_chemical_formula_sum 'K1 Os1 Br2'
_cell_length_a 3.447
_cell_length_b 3.447
_cell_length_c 7.588
_cell_angle_alpha 90.00
_cell_angle_beta 90.00
_cell_angle_gamma 90.00
_symmetry_space_group_name_H-M 'P 1'
_symmetry_Int_Tables_number 1
loop_
_symmetry_equiv_pos_as_xyz
'x,y,z'
loop_
_atom_site_label
_atom_site_fract_x
_atom_site_fract_y
_atom_site_fract_z
_atom_site_occupancy
K1 0.500 0.500 0.000 1
Br1 0.000 0.000 0.283 1
Br2 0.000 0.000 0.717 1
Os1 0.500 0.500 0.500 1
# DOS at the Fermi energy ... 0.2 states/eV per cell
# Volume ... 90.1 Å³ per cell
# ΔE to the lowest computed polymorph ... 41.06 kJ/mol of atoms
# Total moment ... 3.1 μB per cell
# VASP energy ... -117.4 eV/cell

---

[4]
# K3BeC | Alexandria | meta-GGA SCAN | single point on PBEsol structure
data_K3BeC
_chemical_formula_sum 'K3 Be1 C1'
_cell_length_a 5.644
_cell_length_b 5.644
_cell_length_c 5.644
_cell_angle_alpha 90.00
_cell_angle_beta 90.00
_cell_angle_gamma 90.00
_symmetry_space_group_name_H-M 'P 1'
_symmetry_Int_Tables_number 1
loop_
_symmetry_equiv_pos_as_xyz
'x,y,z'
loop_
_atom_site_label
_atom_site_fract_x
_atom_site_fract_y
_atom_site_fract_z
_atom_site_occupancy
K1 0.500 0.000 0.000 1
K2 0.000 0.500 0.000 1
K3 0.000 0.000 0.500 1
C1 0.000 0.000 0.000 1
Be1 0.500 0.500 0.500 1
# DOS at the Fermi energy ... 2.1 states/eV per cell
# Energy relative to the elements ... 1246 meV per atom
# Volume ... 179.8 Å³ per cell
# Total moment ... 1.2 μB per cell
# VASP energy ... -33.2 eV/cell

---

> The lowest VASP energy belongs to which entry?

KOsBr2

---

> The highest total moment belongs to which entry?

KOsBr2

---

> Among the records above, which one has the lowest DOS at the Fermi energy?

KOsBr2

---

> Which of these has the highest VASP energy?

K3BeC